Material: NdGdS
Method: DFT, PBE
State: optimized geometry

a b c (Å): 3.882 3.882 6.524
angles (deg): 90.00 90.00 120.00
Last column: magnetic moment on the atom in μB.
Atoms (fractional coordinates):
S (0.333, 0.667, 0.674)  -0.02
Gd (0.000, 0.000, 0.922)  7.16
Nd (0.667, 0.333, 0.404)  -0.17

- E_tot (eV/atom) = -8.94
- formation energy (no corrections) (kJ/mol of atoms) = -124
- DOS(E_F) (states/eV/f.u.) = 1.88